Here is a relaxed KCd2Ga crystal from the Alexandria database. Energies are from PBE.

Cell and atoms, written as POSCAR:
```
KCd2Ga
1.0
4.744 0.000 0.000
0.000 17.895 0.000
0.000 0.000 6.151
K Cd Ga
4 8 4
Cartesian
1.183 1.468 1.547 K
1.183 7.480 4.622 K
3.561 10.415 1.529 K
3.561 16.427 4.604 K
1.182 3.355 4.623 Cd
1.182 5.592 1.547 Cd
1.190 13.419 3.065 Cd
1.190 13.423 6.141 Cd
3.554 4.472 0.010 Cd
3.553 4.476 3.085 Cd
3.562 12.303 4.604 Cd
3.562 14.539 1.528 Cd
1.190 10.935 4.605 Ga
1.190 15.907 1.529 Ga
3.553 1.988 4.621 Ga
3.554 6.960 1.546 Ga
```

Properties
DOS at the Fermi energy = 9.08 states/eV/cell
Calculated volume = 130.5 Å³/f.u.
Energy = -1.508 eV/atom
Crystal system = monoclinic
Size of the total moment = 0.0000 μB per atom